Density functional theory data (PBE) for crystalline Pr3NbO7 at its relaxed geometry.

Properties
Its electronic total energy is -8.533 eV per atom. For the magnetic moment, the calculation gives 0.00 μB per formula unit.

```
Pr3NbO7
1.0
-5.6283 -3.2571 -1.4593
1.1483 -6.4291 -1.3282
-0.9437 -1.7082 7.4524
O Pr Nb
14 6 2
direct
0.5760 0.4240 0.2500 O
0.5612 0.1851 0.5383 O
0.1851 0.5612 0.4617 O
0.8149 0.4388 0.9617 O
0.1851 0.5612 0.0382 O
0.8149 0.4388 0.5383 O
0.8946 0.8443 0.7500 O
0.5612 0.1851 0.9617 O
0.1557 0.1054 0.7500 O
0.4240 0.5760 0.7500 O
0.4388 0.8149 0.0382 O
0.1054 0.1557 0.2500 O
0.8443 0.8946 0.2500 O
0.4388 0.8149 0.4617 O
0.0000 0.0000 0.5000 Pr
0.5259 0.9225 0.7500 Pr
0.9225 0.5259 0.2500 Pr
0.0775 0.4741 0.7500 Pr
0.4741 0.0775 0.2500 Pr
0.0000 0.0000 0.0000 Pr
0.5000 0.5000 0.5000 Nb
0.5000 0.5000 0.0000 Nb
```